1.
Density functional theory data (GGA-PBE) for a relaxed HfTi2Pt crystal.

Space-group type = P4/mmm (123)
Final energy = -33.8 eV/cell
Magnetic moment = 0.00 μB/f.u.

```
4
Lattice="3.191 0.000 0.000 0.000 3.191 0.000 0.000 0.000 6.904" Properties=species:S:1:pos:R:3 pbc="T T T"
Hf 0.000 0.000 0.000
Ti 1.595 1.595 1.888
Ti 1.595 1.595 5.016
Pt 0.000 0.000 3.452
```

=====

2.
Density functional theory data (GGA-PBE) for a relaxed HfTi2Pt crystal.

Space-group type = P4/mmm (123)
Final energy = -33.7 eV/cell
Magnetic moment = 0.74 μB/f.u.

```
4
Lattice="3.983 0.000 0.000 0.000 3.983 0.000 0.000 0.000 4.423" Properties=species:S:1:pos:R:3 pbc="T T T"
Hf 0.000 0.000 0.000
Ti 0.000 1.992 2.211
Ti 1.992 0.000 2.211
Pt 1.992 1.992 0.000
```

=====

3.
Density functional theory data (GGA-PBE) for a relaxed Hf2TiPt crystal.

Space-group type = I-42d (122)
Final energy = -68.6 eV/cell
Magnetic moment = 0.00 μB/f.u.

```
8
Lattice="-3.804 3.804 2.849 3.804 -3.804 2.849 3.804 3.804 -2.849" Properties=species:S:1:pos:R:3 pbc="T T T"
Hf 1.902 1.653 -0.712
Hf 2.151 -1.902 3.562
Hf 1.902 2.151 2.137
Hf 1.653 5.706 0.712
Ti 3.804 0.000 1.425
Ti 0.000 0.000 2.849
Pt 0.000 0.000 0.000
Pt 0.000 3.804 1.425
```

=====

4.
Density functional theory data (GGA-PBE) for a relaxed HfTiPt6 crystal.

Space-group type = P4/mmm (123)
Final energy = -62.0 eV/cell
Magnetic moment = 0.00 μB/f.u.

```
8
Lattice="3.993 0.000 0.000 0.000 3.993 0.000 0.000 0.000 7.974" Properties=species:S:1:pos:R:3 pbc="T T T"
Hf 0.000 0.000 0.000
Ti 0.000 0.000 3.987
Pt 0.000 1.997 2.041
Pt 0.000 1.997 5.933
Pt 1.997 0.000 2.041
Pt 1.997 0.000 5.933
Pt 1.997 1.997 0.000
Pt 1.997 1.997 3.987
```

=====

5.
Density functional theory data (GGA-PBE) for a relaxed HfTi2Pt9 crystal.

Space-group type = P4/mmm (123)
Final energy = -91.4 eV/cell
Magnetic moment = 0.00 μB/f.u.

```
12
Lattice="3.980 0.000 0.000 0.000 3.980 0.000 0.000 0.000 11.916" Properties=species:S:1:pos:R:3 pbc="T T T"
Hf 0.000 0.000 0.000
Ti 0.000 0.000 4.002
Ti 0.000 0.000 7.914
Pt 0.000 1.990 2.047
Pt 0.000 1.990 5.958
Pt 0.000 1.990 9.869
Pt 1.990 0.000 2.047
Pt 1.990 0.000 5.958
Pt 1.990 0.000 9.869
Pt 1.990 1.990 0.000
Pt 1.990 1.990 4.002
Pt 1.990 1.990 7.914
```

=====

6.
Density functional theory data (GGA-PBE) for a relaxed Hf3TiPt crystal.

Space-group type = Pm-3m (221)
Final energy = -41.5 eV/cell
Magnetic moment = 0.00 μB/f.u.

```
5
Lattice="5.025 0.000 0.000 0.000 5.025 0.000 0.000 0.000 5.025" Properties=species:S:1:pos:R:3 pbc="T T T"
Hf 0.000 0.000 2.513
Hf 0.000 2.513 0.000
Hf 2.513 0.000 0.000
Ti 2.513 2.513 2.513
Pt 0.000 0.000 0.000
```

=====

7.
Density functional theory data (GGA-PBE) for a relaxed HfTi2TlPt crystal.

Space-group type = P4/mmm (123)
Final energy = -31.2 eV/cell
Magnetic moment = 2.94 μB/f.u.

```
5
Lattice="4.861 0.000 0.000 0.000 4.861 0.000 0.000 0.000 5.089" Properties=species:S:1:pos:R:3 pbc="T T T"
Hf 0.000 0.000 0.000
Ti 0.000 2.431 2.545
Ti 2.431 0.000 2.545
Tl 2.431 2.431 0.000
Pt 2.431 2.431 2.545
```

=====

8.
Density functional theory data (GGA-PBE) for a relaxed Hf2TiPtW crystal.

Space-group type = P4/mmm (123)
Final energy = -42.5 eV/cell
Magnetic moment = 0.00 μB/f.u.

```
5
Lattice="5.005 0.000 0.000 0.000 5.005 0.000 0.000 0.000 4.595" Properties=species:S:1:pos:R:3 pbc="T T T"
Hf 0.000 2.502 0.000
Hf 2.502 0.000 0.000
Ti 0.000 0.000 2.297
Pt 0.000 0.000 0.000
W 2.502 2.502 2.297
```

=====

9.
Density functional theory data (GGA-PBE) for a relaxed HfTiPtW2 crystal.

Space-group type = P4/mmm (123)
Final energy = -40.6 eV/cell
Magnetic moment = 0.00 μB/f.u.

```
5
Lattice="4.806 0.000 0.000 0.000 4.806 0.000 0.000 0.000 4.805" Properties=species:S:1:pos:R:3 pbc="T T T"
Hf 0.000 0.000 0.000
Ti 2.403 2.403 2.402
Pt 0.000 0.000 2.402
W 0.000 2.403 0.000
W 2.403 0.000 0.000
```

=====

10.
Density functional theory data (GGA-PBE) for a relaxed Hf6Tl2Pt crystal.

Space-group type = P-62m (189)
Final energy = -72.7 eV/cell
Magnetic moment = 0.00 μB/f.u.

```
9
Lattice="8.122 0.000 0.000 -4.061 7.034 0.000 0.000 0.000 3.438" Properties=species:S:1:pos:R:3 pbc="T T T"
Hf -1.040 1.802 0.000
Hf -2.482 4.299 1.719
Hf 2.080 0.000 0.000
Hf 1.579 2.735 1.719
Hf 4.964 0.000 1.719
Hf 3.021 5.232 0.000
Tl 0.000 4.689 0.000
Tl 4.061 2.345 0.000
Pt 0.000 0.000 1.719
```

=====

11.
Density functional theory data (GGA-PBE) for a relaxed HfTl2Pt crystal.

Space-group type = I-42d (122)
Final energy = -40.3 eV/cell
Magnetic moment = 0.00 μB/f.u.

```
8
Lattice="-3.959 3.959 2.930 3.959 -3.959 2.930 3.959 3.959 -2.930" Properties=species:S:1:pos:R:3 pbc="T T T"
Hf 0.000 0.000 0.000
Hf 0.000 3.959 1.465
Tl 1.979 -1.787 2.198
Tl 2.171 1.979 0.733
Tl 1.979 5.746 -0.733
Tl 1.787 1.979 3.663
Pt 3.959 0.000 1.465
Pt 0.000 0.000 2.930
```

=====

12.
Density functional theory data (GGA-PBE) for a relaxed HfTl2Pt crystal.

Space-group type = Fm-3m (225)
Final energy = -20.1 eV/cell
Magnetic moment = 0.00 μB/f.u.

```
4
Lattice="0.000 3.477 3.477 3.477 0.000 3.477 3.477 3.477 0.000" Properties=species:S:1:pos:R:3 pbc="T T T"
Hf 0.000 0.000 0.000
Tl 1.738 1.738 1.738
Tl 5.215 5.215 5.215
Pt 3.477 3.477 3.477
```

=====

13.
Density functional theory data (GGA-PBE) for a relaxed Hf4TlPt crystal.

Space-group type = I-4m2 (119)
Final energy = -47.5 eV/cell
Magnetic moment = 0.00 μB/f.u.

```
6
Lattice="-2.755 2.755 4.441 2.755 -2.755 4.441 2.755 2.755 -4.441" Properties=species:S:1:pos:R:3 pbc="T T T"
Hf 2.755 0.000 0.584
Hf 0.000 0.000 1.529
Hf 2.755 0.000 3.857
Hf 0.000 0.000 7.353
Tl 0.000 0.000 4.441
Pt 0.000 2.755 2.221
```

=====

14.
Density functional theory data (GGA-PBE) for a relaxed HfTlPt2 crystal.

Space-group type = Fm-3m (225)
Final energy = -26.6 eV/cell
Magnetic moment = 0.00 μB/f.u.

```
4
Lattice="0.000 3.340 3.340 3.340 0.000 3.340 3.340 3.340 0.000" Properties=species:S:1:pos:R:3 pbc="T T T"
Hf 0.000 0.000 0.000
Tl 3.340 3.340 3.340
Pt 1.670 1.670 1.670
Pt 5.010 5.010 5.010
```

=====

15.
Density functional theory data (GGA-PBE) for a relaxed HfTl2Pt2 crystal.

Space-group type = P4/mbm (127)
Final energy = -55.3 eV/cell
Magnetic moment = 0.00 μB/f.u.

```
10
Lattice="6.933 0.000 0.000 0.000 6.933 0.000 0.000 0.000 4.513" Properties=species:S:1:pos:R:3 pbc="T T T"
Hf 0.000 0.000 0.000
Hf 3.466 3.466 0.000
Tl 1.226 2.241 2.257
Tl 2.241 5.707 2.257
Tl 4.692 1.226 2.257
Tl 5.707 4.692 2.257
Pt 0.941 4.407 0.000
Pt 2.526 0.941 0.000
Pt 4.407 5.992 0.000
Pt 5.992 2.526 0.000
```

=====

16.
Density functional theory data (GGA-PBE) for a relaxed HfTlPt2 crystal.

Space-group type = I-42d (122)
Final energy = -51.1 eV/cell
Magnetic moment = 0.00 μB/f.u.

```
8
Lattice="-3.775 3.775 2.917 3.775 -3.775 2.917 3.775 3.775 -2.917" Properties=species:S:1:pos:R:3 pbc="T T T"
Hf 0.000 0.000 0.000
Hf 0.000 3.775 1.459
Tl 3.775 0.000 1.459
Tl 0.000 0.000 2.917
Pt 5.663 1.715 -0.729
Pt 1.715 1.888 0.729
Pt -1.888 2.060 2.188
Pt 2.060 1.888 3.647
```

=====

17.
Density functional theory data (GGA-PBE) for a relaxed Y2HfTlPt crystal.

Space-group type = P4/mmm (123)
Final energy = -27.1 eV/cell
Magnetic moment = 2.85 μB/f.u.

```
5
Lattice="5.615 0.000 0.000 0.000 5.615 0.000 0.000 0.000 4.981" Properties=species:S:1:pos:R:3 pbc="T T T"
Y 0.000 2.808 0.000
Y 2.808 0.000 0.000
Hf 0.000 0.000 2.490
Tl 2.808 2.808 0.000
Pt 2.808 2.808 2.490
```

=====

18.
Density functional theory data (GGA-PBE) for a relaxed TmHfPt6 crystal.

Space-group type = P4/mmm (123)
Final energy = -59.7 eV/cell
Magnetic moment = 0.00 μB/f.u.

```
8
Lattice="4.061 0.000 0.000 0.000 4.061 0.000 0.000 0.000 8.121" Properties=species:S:1:pos:R:3 pbc="T T T"
Tm 0.000 0.000 0.000
Hf 0.000 0.000 4.060
Pt 0.000 2.031 2.090
Pt 0.000 2.031 6.031
Pt 2.031 0.000 2.090
Pt 2.031 0.000 6.031
Pt 2.031 2.031 0.000
Pt 2.031 2.031 4.060
```

=====

19.
Density functional theory data (GGA-PBE) for a relaxed Tm3HfPt12 crystal.

Space-group type = P4/mmm (123)
Final energy = -113.5 eV/cell
Magnetic moment = 0.00 μB/f.u.

```
16
Lattice="4.074 0.000 0.000 0.000 4.074 0.000 0.000 0.000 16.313" Properties=species:S:1:pos:R:3 pbc="T T T"
Tm 0.000 0.000 0.000
Tm 0.000 0.000 4.084
Tm 0.000 0.000 12.229
Hf 0.000 0.000 8.157
Pt 0.000 2.037 2.054
Pt 0.000 2.037 6.194
Pt 0.000 2.037 10.119
Pt 0.000 2.037 14.260
Pt 2.037 0.000 2.054
Pt 2.037 0.000 6.194
Pt 2.037 0.000 10.119
Pt 2.037 0.000 14.260
Pt 2.037 2.037 0.000
Pt 2.037 2.037 4.124
Pt 2.037 2.037 8.157
Pt 2.037 2.037 12.189
```

=====

20.
Density functional theory data (GGA-PBE) for a relaxed TmHfPt crystal.

Space-group type = Amm2 (38)
Final energy = -69.4 eV/cell
Magnetic moment = 0.00 μB/f.u.

```
9
Lattice="4.646 0.000 0.000 0.000 6.102 3.512 0.000 -6.102 3.512" Properties=species:S:1:pos:R:3 pbc="T T T"
Tm 0.000 0.000 0.000
Tm 0.000 -2.523 2.663
Tm 0.000 2.523 2.663
Hf 2.323 0.000 2.335
Hf 2.323 -1.547 5.011
Hf 2.323 1.547 5.011
Pt 0.000 0.000 4.114
Pt 2.323 -4.065 4.122
Pt 2.323 4.065 4.122
```

=====

21.
Density functional theory data (GGA-PBE) for a relaxed TmHfZnPt crystal.

Space-group type = F-43m (216)
Final energy = -24.3 eV/cell
Magnetic moment = 0.00 μB/f.u.

```
4
Lattice="0.000 3.397 3.397 3.397 0.000 3.397 3.397 3.397 0.000" Properties=species:S:1:pos:R:3 pbc="T T T"
Tm 0.000 0.000 0.000
Hf 3.397 3.397 3.397
Zn 5.096 5.096 5.096
Pt 1.699 1.699 1.699
```

=====

22.
Density functional theory data (GGA-PBE) for a relaxed HfUPt2 crystal.

Space-group type = P4/mmm (123)
Final energy = -36.3 eV/cell
Magnetic moment = 2.66 μB/f.u.

```
4
Lattice="3.271 0.000 0.000 0.000 3.271 0.000 0.000 0.000 7.363" Properties=species:S:1:pos:R:3 pbc="T T T"
Hf 0.000 0.000 0.000
U 0.000 0.000 3.682
Pt 1.635 1.635 1.598
Pt 1.635 1.635 5.765
```

=====

23.
Density functional theory data (GGA-PBE) for a relaxed Hf3UPt12 crystal.

Space-group type = P4/mmm (123)
Final energy = -129.6 eV/cell
Magnetic moment = 2.03 μB/f.u.

```
16
Lattice="4.064 0.000 0.000 0.000 4.064 0.000 0.000 0.000 16.267" Properties=species:S:1:pos:R:3 pbc="T T T"
Hf 0.000 0.000 0.000
Hf 0.000 0.000 4.003
Hf 0.000 0.000 12.264
U 0.000 0.000 8.133
Pt 0.000 2.032 1.995
Pt 0.000 2.032 5.979
Pt 0.000 2.032 10.288
Pt 0.000 2.032 14.272
Pt 2.032 0.000 1.995
Pt 2.032 0.000 5.979
Pt 2.032 0.000 10.288
Pt 2.032 0.000 14.272
Pt 2.032 2.032 0.000
Pt 2.032 2.032 3.982
Pt 2.032 2.032 8.133
Pt 2.032 2.032 12.285
```

=====

24.
Density functional theory data (GGA-PBE) for a relaxed HfU2Pt9 crystal.

Space-group type = P4/mmm (123)
Final energy = -96.9 eV/cell
Magnetic moment = 4.06 μB/f.u.

```
12
Lattice="4.117 0.000 0.000 0.000 4.117 0.000 0.000 0.000 12.390" Properties=species:S:1:pos:R:3 pbc="T T T"
Hf 0.000 0.000 0.000
U 0.000 0.000 4.100
U 0.000 0.000 8.290
Pt 0.000 2.059 1.961
Pt 0.000 2.059 6.195
Pt 0.000 2.059 10.429
Pt 2.059 0.000 1.961
Pt 2.059 0.000 6.195
Pt 2.059 0.000 10.429
Pt 2.059 2.059 0.000
Pt 2.059 2.059 4.061
Pt 2.059 2.059 8.328
```

=====

25.
Density functional theory data (GGA-PBE) for a relaxed HfUPt crystal.

Space-group type = Fmmm (69)
Final energy = -56.4 eV/cell
Magnetic moment = 0.55 μB/f.u.

```
6
Lattice="0.000 3.644 6.017 2.948 0.000 6.017 2.948 3.644 0.000" Properties=species:S:1:pos:R:3 pbc="T T T"
Hf 1.474 1.822 3.008
Hf 4.421 5.466 9.025
U 2.948 1.208 6.017
U 2.948 6.079 6.017
Pt 2.948 3.644 4.559
Pt 2.948 3.644 7.475
```

=====

no.,energy of formation from the pure elements (eV per atom),V (Å³ per cell)
1,-0.4937,70.3
2,-0.4767,70.2
3,-0.1082,164.9
4,-0.9828,127.2
5,-0.9431,188.7
6,0.4492,126.9
7,0.5996,120.3
8,0.8583,115.1
9,1.8383,111.0
10,-0.2433,196.5
11,0.1423,183.7
12,0.1561,84.0
13,0.1155,134.9
14,-0.5555,74.5
15,-0.1800,216.9
16,-0.2890,166.3
17,0.8402,157.0
18,-1.1263,133.9
19,-1.1033,270.8
20,-0.8938,199.2
21,-0.6498,78.4
22,-0.7472,78.8
23,-0.9990,268.7
24,-0.8316,210.0
25,-0.3082,129.2